DFT (GGA-PBE) results for K2Pa2PdS6 after structural relaxation.

Results
Raw formation energy: -1.367 eV/atom
Final energy: -6.017 eV/atom
Space-group type: C2/m, No. 12
ρ: 4.44 g/cm3

Lattice parameters (Å, degrees): 7.1860 7.1860 7.7202 96.14 96.14 125.95
Atoms (fractional coordinates):
1 Pa 0.6587 0.3413 0.5000
2 Pa 0.3413 0.6587 0.5000
3 S 0.2657 0.2657 0.3266
4 S 0.4431 0.0449 0.7061
5 S 0.0449 0.4431 0.7061
6 S 0.5569 0.9551 0.2939
7 S 0.9551 0.5569 0.2939
8 S 0.7343 0.7343 0.6734
9 K 0.1450 0.8550 0.0000
10 K 0.8550 0.1450 0.0000
11 Pd 0.0000 0.0000 0.5000


DFT (GGA-PBE) results for KPaSb2Pd2 after structural relaxation.

Results
Raw formation energy: -0.633 eV/atom
Final energy: -5.504 eV/atom
Space-group type: P-3m1, No. 164
ρ: 7.44 g/cm3

Lattice parameters (Å, degrees): 4.6270 4.6270 8.7429 90.00 90.00 120.00
Atoms (fractional coordinates):
1 Sb 0.6667 0.3333 0.2932
2 Sb 0.3333 0.6667 0.7068
3 Pd 0.6667 0.3333 0.6819
4 Pd 0.3333 0.6667 0.3181
5 K 0.0000 0.0000 0.0000
6 Pa 0.0000 0.0000 0.5000


DFT (GGA-PBE) results for K3Pa2PdSe6 after structural relaxation.

Results
Raw formation energy: -1.191 eV/atom
Final energy: -5.223 eV/atom
Space-group type: C2/m, No. 12
ρ: 5.57 g/cm3

Lattice parameters (Å, degrees): 7.2036 7.2036 8.0629 98.42 98.42 120.14
Atoms (fractional coordinates):
1 Pa 0.3328 0.6672 0.0000
2 Pa 0.6672 0.3328 0.0000
3 Se 0.5847 0.9316 0.7929
4 Se 0.4153 0.0684 0.2071
5 Se 0.9316 0.5847 0.7929
6 Se 0.2754 0.2754 0.7976
7 Se 0.0684 0.4153 0.2071
8 Se 0.7246 0.7246 0.2024
9 Pd 0.0000 0.0000 0.0000
10 K 0.1594 0.8406 0.5000
11 K 0.5000 0.5000 0.5000
12 K 0.8406 0.1594 0.5000